[1]
This record from Alexandria describes crystalline SrCu2Ir at its relaxed geometry. The functional is PBE-GGA.

Geometry as CIF:
```
data_SrCu2Ir
_symmetry_space_group_name_H-M 'F -4 3 m'
_symmetry_Int_Tables_number 216
_symmetry_space_group_name_Hall 'F -4 2 3'
_cell_length_a 6.6210
_cell_length_b 6.6210
_cell_length_c 6.6210
_cell_angle_alpha 90.00
_cell_angle_beta 90.00
_cell_angle_gamma 90.00
loop_
_atom_site_label
_atom_site_type_symbol
_atom_site_fract_x
_atom_site_fract_y
_atom_site_fract_z
_atom_site_occupancy
Sr1 Sr 0.0000 0.0000 0.0000 1
Cu1 Cu 0.0000 0.0000 0.5000 1
Cu2 Cu 0.2500 0.2500 0.7500 1
Ir1 Ir 0.2500 0.2500 0.2500 1
```

Output
**D(E_F)**: 0.46 states/eV/atom
**Total energy**: -4.2404 eV per atom
**Crystal system**: cubic
**Calculated density**: 9.31 g cm⁻³
**Energy above the most stable polymorph in this dataset**: 529 meV/atom
**Total magnetic moment**: 0.00 μB/cell
**Energy relative to the elements**: 0.44 eV/atom



[2]
This record from Alexandria describes crystalline TbTm2Br at its relaxed geometry. The functional is PBE-GGA.

Geometry as CIF:
```
data_TbTm2Br
_symmetry_space_group_name_H-M 'R -3 m'
_symmetry_Int_Tables_number 166
_symmetry_space_group_name_Hall '-R 3 2"'
_cell_length_a 3.4591
_cell_length_b 3.4591
_cell_length_c 34.3003
_cell_angle_alpha 90.00
_cell_angle_beta 90.00
_cell_angle_gamma 120.00
loop_
_atom_site_label
_atom_site_type_symbol
_atom_site_fract_x
_atom_site_fract_y
_atom_site_fract_z
_atom_site_occupancy
Tb1 Tb 0.0000 0.0000 0.0000 1
Tm1 Tm 0.0000 0.0000 0.0980 1
Br1 Br 0.0000 0.0000 0.5000 1
```

Output
**D(E_F)**: 1.58 states/eV/atom
**Total energy**: -3.9827 eV per atom
**Crystal system**: trigonal
**Uncorrected formation energy**: -171 meV/atom
**Calculated density**: 8.08 g cm⁻³
**Total magnetic moment**: 3.23 μB/cell



> The highest calculated density belongs to which entry?

SrCu2Ir